(1)
YHo3H | PBE | relaxed

```
YHo3H
1.0
-2.7484 -3.7933 1.6681
4.0513 -2.8803 0.1251
0.8709 1.4282 4.6826
H Ho Y
1 3 1
Cartesian
0.0000 0.0000 0.0000
-1.3742 -1.8966 0.8340
0.4354 0.7141 2.3413
2.0256 -1.4402 0.0625
1.0869 -2.6227 3.2379
```

Properties
Calculated volume ... 123 Å³/cell
Energy ... -4.869 eV/atom
SG ... Pm-3m, No. 221

(2)
SmBiAu2 | PBE | relaxed

```
SmBiAu2
1.0
4.4747 0.0000 0.0000
0.0000 4.6159 0.0000
0.0000 0.0000 4.6159
Bi Au Sm
1 2 1
Cartesian
2.2373 0.0000 0.0000
0.0000 2.3080 0.0000
0.0000 0.0000 2.3080
2.2373 2.3080 2.3080
```

Properties
ΔH_f (0 K) ... -0.533 eV per atom
Calculated volume ... 95 Å³/cell
Energy ... -4.322 eV/atom
SG ... P4/mmm, No. 123

(3)
PrNdGaSn | PBE | relaxed

```
PrNdGaSn
1.0
-0.3746 -2.6634 -4.6812
4.4759 -1.5775 -2.5739
1.2747 -5.2410 -0.2334
Ga Pr Sn Nd
1 1 1 1
Cartesian
4.0320 -7.1114 -5.6163
0.0000 0.0000 0.0000
1.3440 -2.3705 -1.8721
2.6880 -4.7409 -3.7442
```

Properties
ΔH_f (0 K) ... -0.563 eV per atom
Calculated volume ... 111 Å³/cell
Energy ... -4.708 eV/atom
SG ... F-43m, No. 216

(4)
CePaIn2O8 | PBE | relaxed

```
CePaIn2O8
1.0
6.1634 0.5390 0.0000
-2.2505 5.7631 0.0000
-1.9564 -3.1510 4.9518
O In Pa Ce
8 2 1 1
Cartesian
3.0891 -1.5462 3.4400
1.4510 -0.5291 1.5118
3.0742 2.0852 3.4400
3.5798 4.0232 0.9191
0.0617 1.8418 4.0327
-0.0617 -1.8418 4.0327
0.3331 2.2789 0.9191
4.7123 1.0681 1.5118
1.9564 3.1510 0.0000
3.0817 0.2695 2.4759
0.0000 0.0000 0.0000
-1.1252 2.8815 2.4759
```

Properties
Calculated volume ... 182 Å³/cell
Energy ... -7.383 eV/atom
Energy relative to the elements, uncorrected ... -2335 meV per atom
SG ... I-4m2, No. 119

(5)
LaTbRh | PBE | relaxed

```
LaTbRh
1.0
-4.1032 -0.8139 -2.6108
-1.5612 -4.6144 -0.7645
-4.0726 -1.6299 2.2521
Tb La Rh
1 1 1
Cartesian
-4.8685 -3.5291 -0.5616
0.0000 0.0000 0.0000
-2.4343 -1.7645 -0.2808
```

Properties
ΔH_f (0 K) ... -0.500 eV per atom
Calculated volume ... 85 Å³/cell
Energy ... -6.137 eV/atom
SG ... F-43m, No. 216

(6)
Rb2YSi | PBE | relaxed

```
Rb2YSi
1.0
13.4417 0.0000 0.0000
0.0000 13.4417 0.0000
6.7209 6.7209 2.7369
Si Rb Y
2 4 2
Cartesian
6.7209 13.4417 1.3684
6.7209 6.7209 0.0000
7.8882 3.3604 0.6842
10.0813 12.2744 2.0526
5.5536 10.0813 0.6842
16.8022 14.6090 2.0526
13.4417 6.7209 1.3684
0.0000 0.0000 0.0000
```

Properties
Calculated volume ... 494 Å³/cell
Energy ... -3.043 eV/atom
Energy relative to the elements, uncorrected ... 413 meV per atom
SG ... I-42d, No. 122

| no. | total magnetic moment (Bohr magnetons per cell) |
| --- | --- |
| 1 | 0.00 |
| 2 | 0.00 |
| 3 | 0.00 |
| 4 | 0.00 |
| 5 | 0.00 |
| 6 | 1.39 |